This record from Alexandria describes CsH3Os after structural relaxation. The functional is PBE-GGA.

Properties
- Uncorrected energy: -1.847 eV/atom
- Size of the total moment: 0.000 μB/cell

Lattice parameters (Å, degrees): 4.251 4.251 4.251 90.00 90.00 90.00
Fractional positions:
Cs: 0.000 0.000 0.000
H: 0.000 0.000 0.500
H: 0.000 0.500 0.000
H: 0.500 0.000 0.000
Os: 0.500 0.500 0.500

This record from Alexandria describes Y2ZrCr after structural relaxation. The functional is PBE-GGA.

Properties
- ΔH_f (0 K): 2.5 eV/f.u.
- Size of the total moment: 4.302 μB/cell

Lattice parameters (Å, degrees): 6.568 6.568 6.568 102.92 102.92 123.56
Fractional positions:
Y: 0.086 0.625 0.961
Y: 0.375 0.336 0.461
Y: 0.664 0.125 0.039
Y: 0.875 0.914 0.539
Zr: 0.250 0.750 0.500
Zr: 0.500 0.500 0.000
Cr: 0.000 0.000 0.000
Cr: 0.750 0.250 0.500

This record from Alexandria describes Li3VRu after structural relaxation. The functional is PBE-GGA.

Properties
- ΔH_f (0 K): 5.7 eV/f.u.
- Size of the total moment: 3.044 μB/cell

Lattice parameters (Å, degrees): 4.500 4.500 4.500 90.00 90.00 90.00
Fractional positions:
Li: 0.000 0.000 0.500
Li: 0.000 0.500 0.000
Li: 0.500 0.000 0.000
V: 0.500 0.500 0.500
Ru: 0.000 0.000 0.000

This record from Alexandria describes YGa6Cu2 after structural relaxation. The functional is PBE-GGA.

Properties
- ΔH_f (0 K): 0.8 eV/f.u.
- Size of the total moment: 0.000 μB/cell

Lattice parameters (Å, degrees): 8.209 8.209 8.209 60.00 60.00 60.00
Fractional positions:
Y: 0.125 0.125 0.125
Y: 0.875 0.875 0.875
Ga: 0.132 0.132 0.618
Ga: 0.132 0.618 0.132
Ga: 0.132 0.618 0.618
Ga: 0.382 0.382 0.868
Ga: 0.382 0.868 0.382
Ga: 0.382 0.868 0.868
Ga: 0.618 0.132 0.132
Ga: 0.618 0.132 0.618
Ga: 0.618 0.618 0.132
Ga: 0.868 0.382 0.382
Ga: 0.868 0.382 0.868
Ga: 0.868 0.868 0.382
Cu: 0.000 0.500 0.500
Cu: 0.500 0.000 0.500
Cu: 0.500 0.500 0.000
Cu: 0.500 0.500 0.500

This record from Alexandria describes LuHfTcAu after structural relaxation. The functional is PBE-GGA.

Properties
- ΔH_f (0 K): -1.7 eV/f.u.
- Size of the total moment: 0.000 μB/cell

Lattice parameters (Å, degrees): 4.775 4.775 4.775 60.00 60.00 60.00
Fractional positions:
Lu: 0.000 0.000 0.000
Hf: 0.500 0.500 0.500
Tc: 0.250 0.250 0.250
Au: 0.750 0.750 0.750

This record from Alexandria describes Sc2CrOs after structural relaxation. The functional is PBE-GGA.

Properties
- ΔH_f (0 K): 2.3 eV/f.u.
- Size of the total moment: 2.093 μB/cell

Lattice parameters (Å, degrees): 9.572 9.572 9.572 17.66 17.66 17.66
Fractional positions:
Sc: 0.089 0.089 0.089
Sc: 0.911 0.911 0.911
Cr: 0.500 0.500 0.500
Os: 0.000 0.000 0.000

This record from Alexandria describes Th2HPb2 after structural relaxation. The functional is PBE-GGA.

Properties
- Uncorrected energy: -5.315 eV/atom
- Size of the total moment: 0.000 μB/cell

Lattice parameters (Å, degrees): 8.510 8.510 7.548 90.00 90.00 148.87
Fractional positions:
Th: 0.067 0.933 0.500
Th: 0.344 0.656 0.366
Th: 0.656 0.344 0.866
Th: 0.933 0.067 0.000
H: 0.114 0.886 0.795
H: 0.886 0.114 0.295
Pb: 0.292 0.708 0.942
Pb: 0.464 0.536 0.701
Pb: 0.536 0.464 0.201
Pb: 0.708 0.292 0.442

This record from Alexandria describes GaFe2P after structural relaxation. The functional is PBE-GGA.

Properties
- ΔH_f (0 K): -1.0 eV/f.u.
- Size of the total moment: 0.000 μB/cell

Lattice parameters (Å, degrees): 2.745 2.745 5.968 90.00 90.00 90.00
Fractional positions:
Ga: 0.000 0.000 0.000
Fe: 0.500 0.500 0.285
Fe: 0.500 0.500 0.715
P: 0.000 0.000 0.500